1.
A plane-wave DFT calculation with PBE was carried out for a relaxed structure of B4Ir4Rh.

Lattice parameters (Å, degrees): 3.9073 5.4700 5.4644 89.73 79.21 79.16
Sites, in units of the cell vectors:
B  0.9197  0.4088  0.8846
B  0.3713  0.8912  0.5986
B  0.0803  0.5912  0.1154
B  0.6287  0.1088  0.4014
Rh  0.0000  0.0000  0.0000
Ir  0.0657  0.2335  0.5356
Ir  0.9343  0.7665  0.4644
Ir  0.5905  0.4518  0.2317
Ir  0.4095  0.5482  0.7683

ρ ... 13.5 g cm⁻³
Magnetic moment ... 0.0000 μB per atom
DFT total energy ... -0.2886 Ha/atom
E_form ... -0.131 eV per atom

2.
A plane-wave DFT calculation with PBE was carried out for a relaxed structure of B3IrRh3.

Lattice parameters (Å, degrees): 5.6124 5.6124 5.6124 73.17 73.17 73.17
Sites, in units of the cell vectors:
B  0.9090  0.5276  0.3666
B  0.3666  0.9090  0.5276
B  0.4724  0.6334  0.0910
B  0.0910  0.4724  0.6334
B  0.6334  0.0910  0.4724
B  0.5276  0.3666  0.9090
Rh  0.3257  0.1496  0.8186
Rh  0.8504  0.1814  0.6743
Rh  0.1496  0.8186  0.3257
Rh  0.6743  0.8504  0.1814
Rh  0.8186  0.3257  0.1496
Rh  0.1814  0.6743  0.8504
Ir  0.7033  0.7033  0.7033
Ir  0.2967  0.2967  0.2967

ρ ... 11.2 g cm⁻³
Magnetic moment ... 0.0000 μB per atom
DFT total energy ... -0.2777 Ha/atom
E_form ... -0.278 eV per atom

3.
A plane-wave DFT calculation with PBE was carried out for a relaxed structure of BIrRh3.

Lattice parameters (Å, degrees): 4.7182 4.7182 4.7182 90.00 90.00 90.00
Sites, in units of the cell vectors:
Rh  0.5000  0.0000  0.0000
Rh  0.0000  0.5000  0.0000
Rh  0.0000  0.0000  0.5000
B  0.5000  0.5000  0.5000
Ir  0.0000  0.0000  0.0000

ρ ... 8.1 g cm⁻³
Magnetic moment ... 0.0000 μB per atom
E above lowest polymorph ... 1956 meV per atom
DFT total energy ... -0.1971 Ha/atom
E_form ... 2.156 eV per atom

4.
A plane-wave DFT calculation with PBE was carried out for a relaxed structure of B4IrRh5.

Lattice parameters (Å, degrees): 2.8565 5.6712 7.8839 110.75 100.44 90.00
Sites, in units of the cell vectors:
Rh  0.8293  0.8303  0.6587
Rh  0.5000  0.5000  0.0000
Rh  0.8298  0.3334  0.6596
Rh  0.1707  0.1697  0.3413
Rh  0.1702  0.6666  0.3404
B  0.0668  0.3157  0.1336
B  0.3735  0.1256  0.7469
B  0.6265  0.8744  0.2530
B  0.9332  0.6843  0.8663
Ir  0.5000  0.0000  0.0000

ρ ... 10.6 g cm⁻³
Magnetic moment ... 0.0000 μB per atom
DFT total energy ... -0.2755 Ha/atom
E_form ... -0.264 eV per atom

5.
A plane-wave DFT calculation with PBE was carried out for a relaxed structure of B4IrRh6.

Lattice parameters (Å, degrees): 5.4012 7.4620 7.4619 120.00 89.99 90.00
Sites, in units of the cell vectors:
B  0.8392  0.6666  0.3333
B  0.8694  0.1808  0.3616
B  0.3694  0.8192  0.6384
B  0.8694  0.6384  0.8192
B  0.8694  0.1808  0.8192
B  0.3694  0.8192  0.1808
B  0.3694  0.3616  0.1808
B  0.3392  0.3333  0.6666
Rh  0.6147  0.5391  0.0781
Rh  0.1147  0.4609  0.9219
Rh  0.4988  0.1230  0.8771
Rh  0.6147  0.5391  0.4609
Rh  0.1147  0.4609  0.5391
Rh  0.6147  0.9219  0.4609
Rh  0.1147  0.0781  0.5391
Rh  0.9988  0.8770  0.7541
Rh  0.4988  0.1230  0.2459
Rh  0.9988  0.2459  0.1230
Rh  0.9988  0.8770  0.1230
Rh  0.4988  0.7541  0.8771
Ir  0.7047  0.3333  0.6667
Ir  0.2047  0.6667  0.3333

ρ ... 10.9 g cm⁻³
Magnetic moment ... 0.0000 μB per atom
DFT total energy ... -0.2741 Ha/atom
E_form ... -0.214 eV per atom

6.
A plane-wave DFT calculation with PBE was carried out for a relaxed structure of BIrRh3.

Lattice parameters (Å, degrees): 4.0655 4.0655 4.0655 90.00 90.00 90.00
Sites, in units of the cell vectors:
Rh  0.0000  0.5000  0.0000
Rh  0.5000  0.0000  0.0000
Rh  0.0000  0.0000  0.5000
Ir  0.5000  0.5000  0.5000
B  0.0000  0.0000  0.0000

ρ ... 12.6 g cm⁻³
Magnetic moment ... 0.0001 μB per atom
E above lowest polymorph ... 0 meV per atom
DFT total energy ... -0.2689 Ha/atom
E_form ... 0.200 eV per atom

7.
A plane-wave DFT calculation with PBE was carried out for a relaxed structure of BIr3Rh.

Lattice parameters (Å, degrees): 4.0942 4.0942 4.0942 90.00 90.00 90.00
Sites, in units of the cell vectors:
Rh  0.5000  0.5000  0.5000
Ir  0.0000  0.5000  0.0000
Ir  0.0000  0.0000  0.5000
Ir  0.5000  0.0000  0.0000
B  0.0000  0.0000  0.0000

ρ ... 16.7 g cm⁻³
Magnetic moment ... 0.0000 μB per atom
E above lowest polymorph ... 0 meV per atom
DFT total energy ... -0.2883 Ha/atom
E_form ... 0.276 eV per atom

8.
A plane-wave DFT calculation with PBE was carried out for a relaxed structure of BIr3Rh.

Lattice parameters (Å, degrees): 4.7071 4.7071 4.7071 90.00 90.00 90.00
Sites, in units of the cell vectors:
Ir  0.0000  0.0000  0.5000
Ir  0.5000  0.0000  0.0000
Ir  0.0000  0.5000  0.0000
Rh  0.0000  0.0000  0.0000
B  0.5000  0.5000  0.5000

ρ ... 11.0 g cm⁻³
Magnetic moment ... 0.0000 μB per atom
E above lowest polymorph ... 2516 meV per atom
DFT total energy ... -0.1959 Ha/atom
E_form ... 2.792 eV per atom